No. 1
The following is a DFT calculation (SCAN) of a crystal of MgSiBAu2 relaxed with PBEsol.

abc: 4.414 4.414 4.167
angles: 90.00 90.00 90.00
Atoms (fractional coordinates):
Mg 0.000 0.000 0.000
Si 0.500 0.500 0.000
B 0.500 0.500 0.500
Au 0.000 0.500 0.500
Au 0.500 0.000 0.500

=====

No. 2
The following is a DFT calculation (SCAN) of a crystal of K4CaRh relaxed with PBEsol.

abc: 6.883 6.883 6.883
angles: 60.00 60.00 60.00
Atoms (fractional coordinates):
K 0.122 0.122 0.122
K 0.122 0.122 0.634
K 0.122 0.634 0.122
K 0.634 0.122 0.122
Ca 0.500 0.500 0.500
Rh 0.750 0.750 0.750

Computed properties:
Energy of formation from the pure elements ... 0.792 eV per atom

=====

No. 3
The following is a DFT calculation (SCAN) of a crystal of CrIn3W relaxed with PBEsol.

abc: 5.187 5.187 5.187
angles: 90.00 90.00 90.00
Atoms (fractional coordinates):
Cr 0.000 0.000 0.000
In 0.000 0.500 0.500
In 0.500 0.000 0.500
In 0.500 0.500 0.000
W 0.500 0.500 0.500

Computed properties:
Energy of formation from the pure elements ... 0.945 eV per atom

=====

No. 4
The following is a DFT calculation (SCAN) of a crystal of CaC2O4 relaxed with PBEsol.

abc: 6.190 7.359 9.551
angles: 90.00 90.16 90.00
Atoms (fractional coordinates):
Ca 0.090 0.000 0.320
Ca 0.092 0.500 0.180
Ca 0.908 0.500 0.820
Ca 0.910 0.000 0.680
C 0.000 0.106 0.000
C 0.000 0.394 0.500
C 0.000 0.606 0.500
C 0.000 0.894 0.000
C 0.433 0.500 0.931
C 0.434 0.000 0.569
C 0.566 0.000 0.431
C 0.567 0.500 0.069
O 0.050 0.182 0.114
O 0.050 0.318 0.386
O 0.050 0.682 0.386
O 0.050 0.818 0.114
O 0.229 0.500 0.946
O 0.230 0.000 0.554
O 0.465 0.000 0.317
O 0.467 0.500 0.183
O 0.533 0.500 0.817
O 0.535 0.000 0.683
O 0.770 0.000 0.446
O 0.771 0.500 0.054
O 0.950 0.182 0.886
O 0.950 0.318 0.614
O 0.950 0.682 0.614
O 0.950 0.818 0.886

=====

Values for DFT total energy, eV/f.u., ordered as above
-159.4 -72.0 -183.5 -68.6
Values for total moment, μB/cell, ordered as above
0.0 0.0 4.2 0.1